Computed, not measured: Cr2RuRh2 after structural relaxation at the PBE-GGA level of DFT.

POSCAR file:
```
Cr2RuRh2
1.0
7.130 0.000 0.000
0.000 7.130 0.000
0.000 0.000 2.678
Cr Ru Rh
4 2 4
Cartesian
1.213 2.352 0.000
2.352 5.917 0.000
4.778 1.213 0.000
5.917 4.778 0.000
0.000 0.000 1.339
3.565 3.565 1.339
0.918 4.483 1.339
2.647 0.918 1.339
4.483 6.212 1.339
6.212 2.647 1.339
```

Values from the calculation:
The calculation puts the total magnetization at 0.000 μB/atom. The value obtained for the distance to the lowest polymorph of the same formula is 36 kJ/mol of formula units. The formation energy is 17.80 kJ per mole of atoms. Its space group is P4/mbm (127).